Rb2CdF: optimized geometry, PBE-GGA.

Results
For the total magnetization, the calculation gives 0.9 μB per formula unit. Its formation energy from raw total energies is -0.8573 eV/atom.

a = 8.4402 Å, b = 8.4402 Å, c = 8.4402 Å
α = 90.00°, β = 90.00°, γ = 90.00°
Space group Fm-3m (No. 225)
Inequivalent atoms, fractional coordinates:
Rb 0.2500 0.2500 0.2500 (multiplicity 8)
Cd 0.0000 0.0000 0.0000 (multiplicity 4)
F 0.0000 0.0000 0.5000 (multiplicity 4)

***

Ta5Cd: optimized geometry, PBE-GGA.

Results
For the total magnetization, the calculation gives 0.0 μB per formula unit. For the formation energy, the calculation gives 0.1626 eV per atom.

a = 4.7279 Å, b = 13.7821 Å, c = 3.4159 Å
α = 90.00°, β = 90.00°, γ = 90.00°
Space group Cmmm (No. 65)
Inequivalent atoms, fractional coordinates:
Ta 0.0000 0.0000 0.0000 (multiplicity 2)
Ta 0.0000 0.1636 0.5000 (multiplicity 4)
Ta 0.0000 0.3244 0.0000 (multiplicity 4)
Cd 0.0000 0.5000 0.5000 (multiplicity 2)